Record 1
The following is a DFT calculation (PBE-GGA) of a geometry-optimized Re2AsP structure.

Lattice parameters (Å, degrees): 4.699 4.699 4.699 130.26 130.26 73.00
Atoms (fractional coordinates):
Re 0.000 0.000 0.000
Re 0.750 0.250 0.500
As 0.250 0.750 0.500
P 0.500 0.500 0.000

Properties
SG: I-4m2
Total moment, μB/f.u.: 0.0
Energy above the most stable polymorph in this dataset, eV per atom: 0.548
ΔH_f (0 K), eV/atom: 0.501
Raw total energy, eV per atom: -8.238


Record 2
The following is a DFT calculation (PBE-GGA) of a geometry-optimized ReAsP2 structure.

Lattice parameters (Å, degrees): 2.836 2.836 9.010 90.00 90.00 117.07
Atoms (fractional coordinates):
Re 0.000 0.000 0.000
As 0.000 0.000 0.500
P 0.500 0.500 0.215
P 0.500 0.500 0.785

Properties
SG: Cmmm
Total moment, μB/f.u.: 0.0
ΔH_f (0 K), eV/atom: 0.473
Raw total energy, eV per atom: -6.507


Record 3
The following is a DFT calculation (PBE-GGA) of a geometry-optimized Re2AsP structure.

Lattice parameters (Å, degrees): 7.989 7.989 7.989 21.13 21.13 21.13
Atoms (fractional coordinates):
Re 0.244 0.244 0.244
Re 0.756 0.756 0.756
As 0.000 0.000 0.000
P 0.500 0.500 0.500

Properties
SG: R-3m
Total moment, μB/f.u.: 0.0
Energy above the most stable polymorph in this dataset, eV per atom: 0.257
ΔH_f (0 K), eV/atom: 0.210
Raw total energy, eV per atom: -8.529


Record 4
The following is a DFT calculation (PBE-GGA) of a geometry-optimized Re2AsP structure.

Lattice parameters (Å, degrees): 6.575 6.575 6.575 130.52 130.52 72.58
Atoms (fractional coordinates):
Re 0.105 0.625 0.980
Re 0.375 0.355 0.480
Re 0.645 0.125 0.020
Re 0.875 0.895 0.520
As 0.250 0.750 0.500
As 0.500 0.500 0.000
P 0.000 0.000 0.000
P 0.750 0.250 0.500

Properties
SG: I-42d
Total moment, μB/f.u.: 0.0
Energy above the most stable polymorph in this dataset, eV per atom: 0.659
ΔH_f (0 K), eV/atom: 0.611
Raw total energy, eV per atom: -8.127


Record 5
The following is a DFT calculation (PBE-GGA) of a geometry-optimized ReAsP2 structure.

Lattice parameters (Å, degrees): 4.432 4.432 3.045 90.00 90.00 102.01
Atoms (fractional coordinates):
Re 0.000 0.000 0.000
As 0.500 0.500 0.000
P 0.000 0.500 0.500
P 0.500 0.000 0.500

Properties
SG: Cmmm
Total moment, μB/f.u.: 0.0
ΔH_f (0 K), eV/atom: 0.631
Raw total energy, eV per atom: -6.348


Record 6
The following is a DFT calculation (PBE-GGA) of a geometry-optimized ReAsP2 structure.

Lattice parameters (Å, degrees): 4.229 4.229 6.190 98.07 98.07 43.16
Atoms (fractional coordinates):
Re 0.000 0.000 0.000
As 0.273 0.273 0.735
P 0.547 0.547 0.326
P 0.725 0.725 0.102

Properties
SG: Cm
Total moment, μB/f.u.: 0.0
ΔH_f (0 K), eV/atom: 0.089
Raw total energy, eV per atom: -6.890


Record 7
The following is a DFT calculation (PBE-GGA) of a geometry-optimized Re2AsP structure.

Lattice parameters (Å, degrees): 2.806 2.806 9.819 90.00 90.00 117.52
Atoms (fractional coordinates):
Re 0.000 0.000 0.000
Re 0.500 0.500 0.233
As 0.500 0.500 0.780
P 0.000 0.000 0.429

Properties
SG: Cmm2
Total moment, μB/f.u.: 0.0
Energy above the most stable polymorph in this dataset, eV per atom: 0.445
ΔH_f (0 K), eV/atom: 0.397
Raw total energy, eV per atom: -8.342


Record 8
The following is a DFT calculation (PBE-GGA) of a geometry-optimized Re2AsP structure.

Lattice parameters (Å, degrees): 4.284 4.284 4.284 60.00 60.00 60.00
Atoms (fractional coordinates):
Re 0.250 0.250 0.250
Re 0.750 0.750 0.750
As 0.000 0.000 0.000
P 0.500 0.500 0.500

Properties
SG: Fm-3m
Total moment, μB/f.u.: 0.0
Energy above the most stable polymorph in this dataset, eV per atom: 0.186
ΔH_f (0 K), eV/atom: 0.139
Raw total energy, eV per atom: -8.600


Record 9
The following is a DFT calculation (PBE-GGA) of a geometry-optimized Re2AsP structure.

Lattice parameters (Å, degrees): 5.477 5.477 5.477 149.66 131.96 57.88
Atoms (fractional coordinates):
Re 0.202 0.202 0.000
Re 0.798 0.798 0.000
As 0.500 0.000 0.500
P 0.000 0.500 0.500

Properties
SG: Immm
Total moment, μB/f.u.: 0.0
Energy above the most stable polymorph in this dataset, eV per atom: 0.496
ΔH_f (0 K), eV/atom: 0.449
Raw total energy, eV per atom: -8.290


Record 10
The following is a DFT calculation (PBE-GGA) of a geometry-optimized ReAsP structure.

Lattice parameters (Å, degrees): 4.175 4.175 4.175 60.00 60.00 60.00
Atoms (fractional coordinates):
Re 0.000 0.000 0.000
As 0.750 0.750 0.750
P 0.250 0.250 0.250

Properties
SG: F-43m
Total moment, μB/f.u.: 0.0
Energy above the most stable polymorph in this dataset, eV per atom: 0.411
ΔH_f (0 K), eV/atom: 0.251
Raw total energy, eV per atom: -7.252


Record 11
The following is a DFT calculation (PBE-GGA) of a geometry-optimized ReAsP2 structure.

Lattice parameters (Å, degrees): 5.436 5.436 5.436 149.39 124.47 64.74
Atoms (fractional coordinates):
Re 0.000 0.000 0.000
As 0.500 0.500 0.000
P 0.209 0.709 0.500
P 0.791 0.291 0.500

Properties
SG: Immm
Total moment, μB/f.u.: 0.0
ΔH_f (0 K), eV/atom: 0.571
Raw total energy, eV per atom: -6.408


Record 12
The following is a DFT calculation (PBE-GGA) of a geometry-optimized Re2AsP structure.

Lattice parameters (Å, degrees): 4.248 4.248 5.090 102.90 102.90 40.88
Atoms (fractional coordinates):
Re 0.231 0.231 0.229
Re 0.769 0.769 0.771
As 0.000 0.000 0.500
P 0.500 0.500 0.000

Properties
SG: C2/m
Total moment, μB/f.u.: 0.0
Energy above the most stable polymorph in this dataset, eV per atom: 0.258
ΔH_f (0 K), eV/atom: 0.211
Raw total energy, eV per atom: -8.528


Record 13
The following is a DFT calculation (PBE-GGA) of a geometry-optimized ReAs4P structure.

Lattice parameters (Å, degrees): 5.390 5.390 5.390 60.00 60.00 60.00
Atoms (fractional coordinates):
Re 0.000 0.000 0.000
As 0.375 0.375 0.375
As 0.375 0.375 0.874
As 0.375 0.874 0.375
As 0.874 0.375 0.375
P 0.750 0.750 0.750

Properties
SG: F-43m
Total moment, μB/f.u.: 1.8
ΔH_f (0 K), eV/atom: 1.203
Raw total energy, eV per atom: -4.873


Record 14
The following is a DFT calculation (PBE-GGA) of a geometry-optimized ReAsP structure.

Lattice parameters (Å, degrees): 4.129 4.129 4.129 60.00 60.00 60.00
Atoms (fractional coordinates):
Re 0.000 0.000 0.000
As 0.500 0.500 0.500
P 0.750 0.750 0.750

Properties
SG: F-43m
Total moment, μB/f.u.: 0.0
Energy above the most stable polymorph in this dataset, eV per atom: 0.862
ΔH_f (0 K), eV/atom: 0.702
Raw total energy, eV per atom: -6.801


Record 15
The following is a DFT calculation (PBE-GGA) of a geometry-optimized ReAsP3 structure.

Lattice parameters (Å, degrees): 4.628 4.628 4.628 90.00 90.00 90.00
Atoms (fractional coordinates):
Re 0.000 0.000 0.000
As 0.500 0.500 0.500
P 0.000 0.000 0.500
P 0.000 0.500 0.000
P 0.500 0.000 0.000

Properties
SG: Pm-3m
Total moment, μB/f.u.: 0.0
Energy above the most stable polymorph in this dataset, eV per atom: 0.000
ΔH_f (0 K), eV/atom: 0.747
Raw total energy, eV per atom: -5.918


Record 16
The following is a DFT calculation (PBE-GGA) of a geometry-optimized Re2AsP structure.

Lattice parameters (Å, degrees): 3.014 3.014 6.122 90.00 90.00 90.00
Atoms (fractional coordinates):
Re 0.000 0.000 0.234
Re 0.000 0.000 0.766
As 0.500 0.500 0.500
P 0.500 0.500 0.000

Properties
SG: P4/mmm
Total moment, μB/f.u.: 0.0
Energy above the most stable polymorph in this dataset, eV per atom: 0.173
ΔH_f (0 K), eV/atom: 0.125
Raw total energy, eV per atom: -8.614


Record 17
The following is a DFT calculation (PBE-GGA) of a geometry-optimized ReAsP structure.

Lattice parameters (Å, degrees): 5.872 6.245 6.195 90.00 118.36 90.00
Atoms (fractional coordinates):
Re 0.235 0.005 0.494
Re 0.235 0.495 0.994
Re 0.765 0.505 0.006
Re 0.765 0.995 0.506
As 0.333 0.620 0.658
As 0.333 0.880 0.158
As 0.667 0.120 0.842
As 0.667 0.380 0.342
P 0.164 0.137 0.821
P 0.164 0.363 0.321
P 0.836 0.637 0.679
P 0.836 0.863 0.179

Properties
SG: P2_1/c
Total moment, μB/f.u.: 0.0
Energy above the most stable polymorph in this dataset, eV per atom: 0.000
ΔH_f (0 K), eV/atom: -0.160
Raw total energy, eV per atom: -7.663


Record 18
The following is a DFT calculation (PBE-GGA) of a geometry-optimized ReAs3P structure.

Lattice parameters (Å, degrees): 4.797 4.797 4.797 90.00 90.00 90.00
Atoms (fractional coordinates):
Re 0.000 0.000 0.000
As 0.000 0.000 0.500
As 0.000 0.500 0.000
As 0.500 0.000 0.000
P 0.500 0.500 0.500

Properties
SG: Pm-3m
Total moment, μB/f.u.: 0.0
Energy above the most stable polymorph in this dataset, eV per atom: 0.000
ΔH_f (0 K), eV/atom: 0.851
Raw total energy, eV per atom: -5.510


Record 19
The following is a DFT calculation (PBE-GGA) of a geometry-optimized ReAsP structure.

Lattice parameters (Å, degrees): 6.294 6.294 6.294 152.50 152.50 39.29
Atoms (fractional coordinates):
Re 0.000 0.000 0.000
As 0.360 0.360 0.000
P 0.611 0.611 0.000

Properties
SG: I4mm
Total moment, μB/f.u.: 0.0
Energy above the most stable polymorph in this dataset, eV per atom: 0.224
ΔH_f (0 K), eV/atom: 0.064
Raw total energy, eV per atom: -7.439


Record 20
The following is a DFT calculation (PBE-GGA) of a geometry-optimized ReAs3P structure.

Lattice parameters (Å, degrees): 4.597 4.597 4.597 90.00 90.00 90.00
Atoms (fractional coordinates):
Re 0.000 0.000 0.000
As 0.000 0.500 0.500
As 0.500 0.000 0.500
As 0.500 0.500 0.000
P 0.500 0.500 0.500

Properties
SG: Pm-3m
Total moment, μB/f.u.: 2.0
Energy above the most stable polymorph in this dataset, eV per atom: 0.487
ΔH_f (0 K), eV/atom: 1.338
Raw total energy, eV per atom: -5.023


Record 21
The following is a DFT calculation (PBE-GGA) of a geometry-optimized ReAsP2 structure.

Lattice parameters (Å, degrees): 4.349 4.349 4.349 60.00 60.00 60.00
Atoms (fractional coordinates):
Re 0.000 0.000 0.000
As 0.750 0.750 0.750
P 0.250 0.250 0.250
P 0.500 0.500 0.500

Properties
SG: F-43m
Total moment, μB/f.u.: 0.0
ΔH_f (0 K), eV/atom: 0.584
Raw total energy, eV per atom: -6.396


Record 22
The following is a DFT calculation (PBE-GGA) of a geometry-optimized ReAsP2 structure.

Lattice parameters (Å, degrees): 6.581 6.581 6.581 130.39 130.39 72.78
Atoms (fractional coordinates):
Re 0.000 0.000 0.000
Re 0.750 0.250 0.500
As 0.250 0.750 0.500
As 0.500 0.500 0.000
P 0.100 0.625 0.975
P 0.375 0.350 0.475
P 0.650 0.125 0.025
P 0.875 0.900 0.525

Properties
SG: I-42d
Total moment, μB/f.u.: 0.0
ΔH_f (0 K), eV/atom: 0.215
Raw total energy, eV per atom: -6.764


Record 23
The following is a DFT calculation (PBE-GGA) of a geometry-optimized Re2AsP structure.

Lattice parameters (Å, degrees): 4.404 4.404 5.052 105.80 105.80 40.93
Atoms (fractional coordinates):
Re 0.000 0.000 0.000
Re 0.229 0.229 0.604
As 0.473 0.473 0.395
P 0.712 0.712 0.955

Properties
SG: Cm
Total moment, μB/f.u.: 0.0
Energy above the most stable polymorph in this dataset, eV per atom: 0.000
ΔH_f (0 K), eV/atom: -0.047
Raw total energy, eV per atom: -8.786


Record 24
The following is a DFT calculation (PBE-GGA) of a geometry-optimized Re2AsP structure.

Lattice parameters (Å, degrees): 2.833 3.919 5.328 90.00 90.00 90.00
Atoms (fractional coordinates):
Re 0.000 0.000 0.000
Re 0.500 0.500 0.303
As 0.000 0.000 0.506
P 0.500 0.500 0.862

Properties
SG: Pmm2
Total moment, μB/f.u.: 0.0
Energy above the most stable polymorph in this dataset, eV per atom: 0.193
ΔH_f (0 K), eV/atom: 0.146
Raw total energy, eV per atom: -8.593


Record 25
The following is a DFT calculation (PBE-GGA) of a geometry-optimized Re2AsP structure.

Lattice parameters (Å, degrees): 3.049 3.613 5.666 90.00 104.72 90.00
Atoms (fractional coordinates):
Re 0.138 0.000 0.275
Re 0.862 0.000 0.725
As 0.500 0.500 0.000
P 0.000 0.500 0.500

Properties
SG: P2/m
Total moment, μB/f.u.: 0.0
Energy above the most stable polymorph in this dataset, eV per atom: 0.430
ΔH_f (0 K), eV/atom: 0.383
Raw total energy, eV per atom: -8.356


Record 26
The following is a DFT calculation (PBE-GGA) of a geometry-optimized ReAsP2 structure.

Lattice parameters (Å, degrees): 2.534 4.409 5.836 90.00 90.31 90.00
Atoms (fractional coordinates):
Re 0.000 0.000 0.000
As 0.000 0.000 0.500
P 0.002 0.500 0.209
P 0.998 0.500 0.791

Properties
SG: P2/m
Total moment, μB/f.u.: 0.0
ΔH_f (0 K), eV/atom: 0.414
Raw total energy, eV per atom: -6.565


Record 27
The following is a DFT calculation (PBE-GGA) of a geometry-optimized ReAsP2 structure.

Lattice parameters (Å, degrees): 3.022 3.022 6.573 90.00 90.00 90.00
Atoms (fractional coordinates):
Re 0.000 0.000 0.000
As 0.000 0.000 0.500
P 0.500 0.500 0.214
P 0.500 0.500 0.786

Properties
SG: P4/mmm
Total moment, μB/f.u.: 0.0
ΔH_f (0 K), eV/atom: 0.158
Raw total energy, eV per atom: -6.821


Record 28
The following is a DFT calculation (PBE-GGA) of a geometry-optimized Re2AsP structure.

Lattice parameters (Å, degrees): 4.415 4.415 4.415 60.00 60.00 60.00
Atoms (fractional coordinates):
Re 0.000 0.000 0.000
Re 0.250 0.250 0.250
As 0.750 0.750 0.750
P 0.500 0.500 0.500

Properties
SG: F-43m
Total moment, μB/f.u.: 0.0
Energy above the most stable polymorph in this dataset, eV per atom: 0.784
ΔH_f (0 K), eV/atom: 0.736
Raw total energy, eV per atom: -8.003


Record 29
The following is a DFT calculation (PBE-GGA) of a geometry-optimized Re2AsP structure.

Lattice parameters (Å, degrees): 6.626 6.626 6.626 153.14 152.29 38.98
Atoms (fractional coordinates):
Re 0.000 0.000 0.000
Re 0.781 0.281 0.500
As 0.174 0.674 0.500
P 0.425 0.425 0.000

Properties
SG: Imm2
Total moment, μB/f.u.: 0.0
Energy above the most stable polymorph in this dataset, eV per atom: 0.130
ΔH_f (0 K), eV/atom: 0.082
Raw total energy, eV per atom: -8.656


Record 30
The following is a DFT calculation (PBE-GGA) of a geometry-optimized Re2AsP structure.

Lattice parameters (Å, degrees): 2.943 2.943 7.989 90.00 90.00 118.69
Atoms (fractional coordinates):
Re 0.000 0.000 0.229
Re 0.000 0.000 0.771
As 0.500 0.500 0.500
P 0.500 0.500 0.000

Properties
SG: Cmmm
Total moment, μB/f.u.: 0.0
Energy above the most stable polymorph in this dataset, eV per atom: 0.585
ΔH_f (0 K), eV/atom: 0.538
Raw total energy, eV per atom: -8.201